This record from Alexandria describes a relaxed CaSb2Ir crystal. The functional is PBE.

V ... 97.7 Å³ per cell
Space group ... P4mm
Calculated density ... 8090 kg/m3
Formation energy from raw total energies ... -101 kJ/mol of formula units

Structure (extended XYZ):
```
4
Lattice="-0.031 2.429 2.194 -3.238 -0.344 0.335 1.334 -6.036 6.702" Properties=species:S:1:pos:R:3 pbc="T T T"
Sb 1.236 -5.591 6.208
Sb -1.277 -0.575 3.060
Ca 0.718 -3.248 3.607
Ir -0.610 -3.590 6.408
```